i) Entry from Alexandria: Na2GaPb2 after structural relaxation (PBE).

The space group is P4/mbm (No. 127) and the conventional cell measures 8.967, 8.967 and 3.610 Å, with angles of 90.00, 90.00 and 90.00 degrees. The inequivalent atoms are Na at (0.175, 0.325, 0.000), Ga at (0.000, 0.000, 0.000) and Pb at (0.125, 0.625, 0.500).

=====

ii) Entry from Alexandria: Na2GaPb2 after structural relaxation (PBE).

The space group is Ibam (No. 72) and the conventional cell measures 6.698, 14.880 and 5.762 Å, with angles of 90.00, 90.00 and 90.00 degrees. The inequivalent atoms are Na at (0.138, 0.101, 0.000), Ga at (0.000, 0.500, 0.250) and Pb at (0.140, 0.328, 0.000).

=====

iii) Entry from Alexandria: Na2GaPb2 after structural relaxation (PBE).

The space group is P4/mbm (No. 127) and the conventional cell measures 7.650, 7.650 and 5.110 Å, with angles of 90.00, 90.00 and 90.00 degrees. The inequivalent atoms are Na at (0.163, 0.337, 0.000), Ga at (0.000, 0.000, 0.500) and Pb at (0.147, 0.647, 0.500).

=====

Energy above the most stable structure, in kJ/mol of atoms: i) 12.7; ii) 1.5; iii) 0.0

=====

i) Entry from Alexandria: Na2Ga2Pb after structural relaxation (PBE).

The space group is P4/mbm (No. 127) and the conventional cell measures 8.455, 8.455 and 3.516 Å, with angles of 90.00, 90.00 and 90.00 degrees. The inequivalent atoms are Na at (0.130, 0.370, 0.000), Ga at (0.169, 0.669, 0.500) and Pb at (0.000, 0.000, 0.000).

=====

ii) Entry from Alexandria: Na2Ga2Pb after structural relaxation (PBE).

The space group is P4/mbm (No. 127) and the conventional cell measures 8.030, 8.030 and 3.899 Å, with angles of 90.00, 90.00 and 90.00 degrees. The inequivalent atoms are Na at (0.181, 0.319, 0.000), Ga at (0.115, 0.615, 0.500) and Pb at (0.000, 0.000, 0.500).

=====

iii) Entry from Alexandria: Na2Ga2Pb after structural relaxation (PBE).

The space group is I4/mmm (No. 139) and the conventional cell measures 4.299, 4.299 and 13.821 Å, with angles of 90.00, 90.00 and 90.00 degrees. The inequivalent atoms are Na at (0.000, 0.500, 0.250), Ga at (0.000, 0.000, 0.091) and Pb at (0.000, 0.000, 0.500).

=====

Energy above the most stable structure, in kJ/mol of atoms: i) 11.5; ii) 0.0; iii) 6.3

=====

i) Entry from Alexandria: Na3GaPb after structural relaxation (PBE).

The space group is C2/m (No. 12) and the conventional cell measures 11.452, 9.730 and 7.337 Å, with angles of 90.00, 129.27 and 90.00 degrees. The inequivalent atoms are Na at (0.061, 0.000, 0.331), Na at (0.217, 0.296, 0.741), Ga at (0.240, 0.500, 0.094) and Pb at (0.074, 0.500, 0.278).

=====

ii) Entry from Alexandria: Na3GaPb after structural relaxation (PBE).

The space group is Pm-3m (No. 221) and the conventional cell measures 5.528, 5.528 and 5.528 Å, with angles of 90.00, 90.00 and 90.00 degrees. The inequivalent atoms are Na at (0.000, 0.000, 0.500), Ga at (0.000, 0.000, 0.000) and Pb at (0.500, 0.500, 0.500).

=====

Energy above the most stable structure, in kJ/mol of atoms: i) 0.0; ii) 26.0

=====

i) Entry from Alexandria: NaGaPb3 after structural relaxation (PBE).

The space group is Pm-3m (No. 221) and the conventional cell measures 5.554, 5.554 and 5.554 Å, with angles of 90.00, 90.00 and 90.00 degrees. The inequivalent atoms are Na at (0.000, 0.000, 0.000), Ga at (0.500, 0.500, 0.500) and Pb at (0.000, 0.000, 0.500).

=====

ii) Entry from Alexandria: NaGaPb3 after structural relaxation (PBE).

The space group is P2_1/m (No. 11) and the conventional cell measures 5.759, 6.674 and 8.022 Å, with angles of 90.00, 108.21 and 90.00 degrees. The inequivalent atoms are Na at (0.122, 0.250, 0.380), Ga at (0.288, 0.750, 0.436), Pb at (0.026, 0.250, 0.934) and Pb at (0.441, 0.001, 0.777).

=====

iii) Entry from Alexandria: NaGaPb3 after structural relaxation (PBE).

The space group is Cmc2_1 (No. 36) and the conventional cell measures 5.601, 17.617 and 5.719 Å, with angles of 90.00, 90.00 and 90.00 degrees. The inequivalent atoms are Na at (0.000, 0.151, 0.000), Ga at (0.000, 0.343, 0.952), Pb at (0.000, 0.055, 0.505), Pb at (0.000, 0.253, 0.474) and Pb at (0.000, 0.448, 0.404).

=====

iv) Entry from Alexandria: NaGaPb3 after structural relaxation (PBE).

The space group is Pm-3m (No. 221) and the conventional cell measures 5.609, 5.609 and 5.609 Å, with angles of 90.00, 90.00 and 90.00 degrees. The inequivalent atoms are Na at (0.000, 0.000, 0.000), Ga at (0.500, 0.500, 0.500) and Pb at (0.000, 0.500, 0.500).

=====

Energy above the most stable structure, in kJ/mol of atoms: i) 52.8; ii) 0.9; iii) 0.0; iv) 20.0

=====

i) Entry from Alexandria: Na2GaPb after structural relaxation (PBE).

The space group is Cm (No. 8) and the conventional cell measures 11.385, 4.553 and 9.593 Å, with angles of 90.00, 114.16 and 90.00 degrees. The inequivalent atoms are Na at (0.000, 0.000, 0.000), Na at (0.040, 0.000, 0.441), Na at (0.200, 0.500, 0.296), Na at (0.455, 0.000, 0.667), Ga at (0.192, 0.500, 0.972), Ga at (0.244, 0.000, 0.844), Pb at (0.246, 0.500, 0.657) and Pb at (0.366, 0.000, 0.181).

=====

ii) Entry from Alexandria: Na2GaPb after structural relaxation (PBE).

The space group is I-42d (No. 122) and the conventional cell measures 8.653, 8.653 and 6.097 Å, with angles of 90.00, 90.00 and 90.00 degrees. The inequivalent atoms are Na at (0.230, 0.250, 0.125), Ga at (0.000, 0.000, 0.000) and Pb at (0.000, 0.000, 0.500).

=====

iii) Entry from Alexandria: Na2GaPb after structural relaxation (PBE).

The space group is P4/mmm (No. 123) and the conventional cell measures 4.546, 4.546 and 4.937 Å, with angles of 90.00, 90.00 and 90.00 degrees. The inequivalent atoms are Na at (0.000, 0.500, 0.000), Ga at (0.000, 0.000, 0.500) and Pb at (0.500, 0.500, 0.500).

=====

iv) Entry from Alexandria: Na2GaPb after structural relaxation (PBE).

The space group is R-3m (No. 166, hexagonal axes) and the conventional cell measures 3.4212, 3.4212 and 34.1775 Å, with angles of 90.00, 90.00 and 120.00 degrees. The inequivalent atoms are Na at (0.0000, 0.0000, 0.0872), Ga at (0.0000, 0.0000, 0.0000) and Pb at (0.0000, 0.0000, 0.5000).

=====

Energy above the most stable structure, in kJ/mol of atoms: i) 0.0; ii) 17.1; iii) 4.0; iv) 18.4

=====

i) Entry from Alexandria: Na2GaPb after structural relaxation (PBE).

The space group is Fm-3m (No. 225) and the conventional cell measures 7.449, 7.449 and 7.449 Å, with angles of 90.00, 90.00 and 90.00 degrees. The inequivalent atoms are Na at (0.250, 0.250, 0.250), Ga at (0.000, 0.000, 0.000) and Pb at (0.000, 0.000, 0.500).

=====

ii) Entry from Alexandria: Na2GaPb after structural relaxation (PBE).

The space group is P2_1/c (No. 14) and the conventional cell measures 8.222, 6.507 and 10.251 Å, with angles of 90.00, 128.26 and 90.00 degrees. The inequivalent atoms are Na at (0.059, 0.250, 0.029), Na at (0.229, 0.521, 0.364), Ga at (0.293, 0.027, 0.397) and Pb at (0.445, 0.744, 0.724).

=====

iii) Entry from Alexandria: Na2GaPb after structural relaxation (PBE).

The space group is P4/mmm (No. 123) and the conventional cell measures 3.625, 3.625 and 7.917 Å, with angles of 90.00, 90.00 and 90.00 degrees. The inequivalent atoms are Na at (0.000, 0.000, 0.232), Ga at (0.500, 0.500, 0.000) and Pb at (0.500, 0.500, 0.500).

=====

Energy above the most stable structure, in kJ/mol of atoms: i) 5.0; ii) 0.0; iii) 4.0

=====

i) Entry from Alexandria: NaGa3Pd after structural relaxation (PBE).

The space group is Pm-3m (No. 221) and the conventional cell measures 4.901, 4.901 and 4.901 Å, with angles of 90.00, 90.00 and 90.00 degrees. The inequivalent atoms are Na at (0.000, 0.000, 0.000), Ga at (0.000, 0.500, 0.500) and Pd at (0.500, 0.500, 0.500).

=====

ii) Entry from Alexandria: NaGa3Pd after structural relaxation (PBE).

The space group is Pnma (No. 62) and the conventional cell measures 8.124, 4.125 and 11.537 Å, with angles of 90.00, 90.00 and 90.00 degrees. The inequivalent atoms are Na at (0.172, 0.250, 0.001), Ga at (0.062, 0.250, 0.413), Ga at (0.084, 0.750, 0.205), Ga at (0.164, 0.750, 0.782) and Pd at (0.125, 0.250, 0.634).

=====

Energy above the most stable structure, in kJ/mol of atoms: i) 18.2; ii) 0.0

=====

i) Entry from Alexandria: NaGa2Pd3 after structural relaxation (PBE).

The space group is P6/mmm (No. 191) and the conventional cell measures 5.7591, 5.7591 and 3.9158 Å, with angles of 90.00, 90.00 and 120.00 degrees. The inequivalent atoms are Na at (0.0000, 0.0000, 0.0000), Ga at (0.3333, 0.6667, 0.5000) and Pd at (0.0000, 0.5000, 0.0000).

=====

ii) Entry from Alexandria: NaGa2Pd3 after structural relaxation (PBE).

The space group is P6/mmm (No. 191) and the conventional cell measures 5.6945, 5.6945 and 3.8950 Å, with angles of 90.00, 90.00 and 120.00 degrees. The inequivalent atoms are Na at (0.0000, 0.0000, 0.0000), Ga at (0.3333, 0.6667, 0.0000) and Pd at (0.0000, 0.5000, 0.5000).

=====

Energy above the most stable structure, in kJ/mol of atoms: i) 4.2; ii) 0.0